Record 1
Here is a geometry-optimized Pm12Ho6Er structure from the Alexandria database. Energies are from PBE-GGA.

Calculated values
The volume is 658 Å³ per cell. Its energy above the most stable polymorph in this dataset is 104 meV/atom. The symmetry is R-3.

Unit cell a=9.212 b=9.212 c=9.212 alpha=106.61 beta=106.61 gamma=106.61
Positions (direct):
Ho 0.079 0.191 0.453
Pm 0.808 0.417 0.515
Pm 0.722 0.868 0.174
Ho 0.191 0.453 0.079
Pm 0.485 0.192 0.583
Pm 0.868 0.174 0.722
Er 0.000 0.000 0.000
Pm 0.583 0.485 0.192
Pm 0.826 0.278 0.132
Ho 0.921 0.809 0.547
Pm 0.192 0.583 0.485
Ho 0.809 0.547 0.921
Pm 0.278 0.132 0.826
Ho 0.453 0.079 0.191
Pm 0.132 0.826 0.278
Pm 0.174 0.722 0.868
Pm 0.417 0.515 0.808
Ho 0.547 0.921 0.809
Pm 0.515 0.808 0.417


Record 2
Here is a geometry-optimized Pb5W structure from the Alexandria database. Energies are from PBE-GGA.

Calculated values
The volume is 198 Å³ per cell. Its energy above the most stable polymorph in this dataset is 628 meV/atom. The symmetry is P6/mmm.

Unit cell a=6.143 b=6.143 c=6.048 alpha=90.00 beta=90.00 gamma=120.00
Last column: magnetic moment on the atom in μB.
Positions (direct):
Pb 0.000 0.500 0.500  -0.04
Pb 0.333 0.667 0.000  -0.02
Pb 0.500 0.000 0.500  -0.04
Pb 0.667 0.333 0.000  -0.02
Pb 0.500 0.500 0.500  -0.04
W 0.000 0.000 0.000  2.99


Record 3
Here is a geometry-optimized Li2Tm3Zn7 structure from the Alexandria database. Energies are from PBE-GGA.

Calculated values
The volume is 214 Å³ per cell. The symmetry is R-3m.

Unit cell a=5.372 b=5.372 c=9.122 alpha=72.87 beta=72.87 gamma=60.00
Positions (direct):
Zn 0.079 0.583 0.755
Zn 0.583 0.583 0.755
Li 0.667 0.667 0.999
Zn 0.583 0.079 0.755
Zn 0.500 0.500 0.500
Li 0.333 0.333 0.001
Tm 0.137 0.137 0.590
Tm 0.863 0.863 0.410
Tm 0.000 0.000 0.000
Zn 0.921 0.417 0.245
Zn 0.417 0.921 0.245
Zn 0.417 0.417 0.245


Record 4
Here is a geometry-optimized K2ZnF structure from the Alexandria database. Energies are from PBE-GGA.

Calculated values
The volume is 222 Å³ per cell. Its energy above the most stable polymorph in this dataset is 9 meV/atom. The symmetry is P1. The calculation puts the formation energy from raw total energies at -5.040 eV/f.u.

Unit cell a=3.635 b=6.917 c=9.526 alpha=106.13 beta=90.12 gamma=104.87
Positions (direct):
F 0.838 0.607 0.959
K 0.517 0.952 0.975
K 0.233 0.396 0.767
K 0.476 0.875 0.579
Zn 0.091 0.107 0.333
Zn 0.726 0.380 0.425
K 0.327 0.586 0.170
F 0.049 0.021 0.791


Record 5
Here is a geometry-optimized UTiFe4 structure from the Alexandria database. Energies are from PBE-GGA.

Calculated values
The volume is 83 Å³ per cell. The symmetry is F-43m.

Unit cell a=4.894 b=4.894 c=4.894 alpha=60.00 beta=60.00 gamma=60.00
Last column: magnetic moment on the atom in μB.
Positions (direct):
Fe 0.626 0.626 0.123  1.64
Fe 0.626 0.123 0.626  1.64
Ti 0.000 0.000 0.000  -0.74
Fe 0.626 0.626 0.626  1.64
U 0.250 0.250 0.250  -1.77
Fe 0.123 0.626 0.626  1.64


no.,size of the total moment (μB per cell),electronic total energy (eV/atom)
1,0.0,-4.4454
2,3.8,-4.1356
3,0.0,-2.4531
4,0.0,-2.5951
5,3.7,-8.9264